Computed, not measured: a geometry-optimized Ho2ErIr2 structure at the PBE level of DFT.

abc: 4.343 5.518 11.164
angles: 113.56 90.00 90.00
Fractional positions:
Er 0.250 0.810 0.206
Er 0.750 0.190 0.794
Ir 0.250 0.881 0.643
Ir 0.750 0.119 0.357
Ir 0.250 0.316 0.975
Ir 0.750 0.684 0.025
Ho 0.250 0.770 0.881
Ho 0.250 0.280 0.531
Ho 0.750 0.230 0.119
Ho 0.750 0.720 0.469

## Properties
- calculated formation energy (meV/atom) = -766
- mass density (g cm⁻³) = 11.940
- calculated volume (Å³/f.u.) = 123
- ΔE to the lowest computed polymorph (eV per atom) = 0.060